[1]
Entry from the Alexandria database: a geometry-optimized GeOsAu3 structure (GGA-PBE).

Cell lengths 5.022, 5.022, 5.022 Å; angles 90.00, 90.00, 90.00 degrees
Last column: magnetic moment on the atom in μB.
Fractional coordinates of all 5 atoms:
Au  0.000  0.500  0.000  0.04
Au  0.500  0.000  0.000  0.03
Au  0.000  0.000  0.500  0.18
Ge  0.500  0.500  0.500  -0.03
Os  0.000  0.000  0.000  0.81

Properties
Energy of formation in eV/atom: 1.2793
V in Å³/f.u.: 126.63
Relative energy among the computed polymorphs in meV per atom: 0
Calculated density in Mg/m³: 11.20



[2]
Entry from the Alexandria database: a geometry-optimized GeOsAu structure (GGA-PBE).

Cell lengths 4.847, 2.820, 4.129 Å; angles 90.00, 90.00, 90.00 degrees
Fractional coordinates of all 3 atoms:
Os  0.500  0.500  0.000
Ge  0.500  0.000  0.500
Au  0.000  0.000  0.000

Properties
Energy of formation in eV/atom: 0.2360
V in Å³/f.u.: 56.45
Relative energy among the computed polymorphs in meV per atom: 2
Calculated density in Mg/m³: 13.53



[3]
Entry from the Alexandria database: a geometry-optimized GeOsAu structure (GGA-PBE).

Cell lengths 2.895, 7.472, 9.416 Å; angles 90.00, 90.00, 90.00 degrees
Fractional coordinates of all 12 atoms:
Au  0.500  0.179  0.754
Au  0.500  0.321  0.254
Au  0.500  0.679  0.254
Au  0.500  0.821  0.754
Ge  0.000  0.732  0.005
Ge  0.000  0.768  0.505
Ge  0.000  0.232  0.505
Ge  0.000  0.268  0.005
Os  0.000  0.500  0.819
Os  0.000  0.000  0.319
Os  0.500  0.000  0.077
Os  0.500  0.500  0.577

Properties
Energy of formation in eV/atom: 0.2550
V in Å³/f.u.: 50.92
Relative energy among the computed polymorphs in meV per atom: 21
Calculated density in Mg/m³: 15.00



[4]
Entry from the Alexandria database: a geometry-optimized GeOsAu structure (GGA-PBE).

Cell lengths 5.959, 2.900, 6.529 Å; angles 90.00, 111.19, 90.00 degrees
Fractional coordinates of all 6 atoms:
Os  0.407  0.000  0.877
Os  0.593  0.500  0.626
Au  0.832  0.500  0.088
Au  0.149  0.000  0.426
Ge  0.038  0.500  0.781
Ge  0.526  0.000  0.287

Properties
Energy of formation in eV/atom: 0.2338
V in Å³/f.u.: 52.60
Relative energy among the computed polymorphs in meV per atom: 0
Calculated density in Mg/m³: 14.52



[5]
Entry from the Alexandria database: a geometry-optimized GeOs2Au structure (GGA-PBE).

Cell lengths 3.904, 3.904, 9.778 Å; angles 78.48, 78.48, 90.00 degrees
Fractional coordinates of all 8 atoms:
Ge  0.500  0.500  0.000
Ge  0.250  0.750  0.500
Os  0.375  0.450  0.750
Os  0.550  0.125  0.250
Os  0.200  0.625  0.250
Os  0.875  0.800  0.750
Au  0.000  0.000  0.000
Au  0.750  0.250  0.500

Properties
Energy of formation in eV/atom: 0.8204
V in Å³/f.u.: 71.49
Calculated density in Mg/m³: 15.10



[6]
Entry from the Alexandria database: a geometry-optimized GeOs2PtAu structure (GGA-PBE).

Cell lengths 4.536, 4.636, 4.536 Å; angles 90.00, 90.00, 90.00 degrees
Last column: magnetic moment on the atom in μB.
Fractional coordinates of all 5 atoms:
Os  0.500  0.000  0.000  0.41
Os  0.000  0.000  0.500  0.28
Au  0.000  0.500  0.000  0.02
Pt  0.500  0.500  0.500  0.06
Ge  0.000  0.000  0.000  -0.01

Properties
Energy of formation in eV/atom: 1.6272
V in Å³/f.u.: 95.37
Calculated density in Mg/m³: 14.72



[7]
Entry from the Alexandria database: a geometry-optimized GeOsRu2Au structure (GGA-PBE).

Cell lengths 4.901, 4.912, 4.901 Å; angles 90.00, 90.00, 90.00 degrees
Last column: magnetic moment on the atom in μB.
Fractional coordinates of all 5 atoms:
Ru  0.000  0.000  0.500  2.32
Ru  0.500  0.000  0.000  1.60
Ge  0.500  0.500  0.500  -0.10
Os  0.000  0.500  0.000  1.75
Au  0.000  0.000  0.000  0.25

Properties
Energy of formation in eV/atom: 2.3981
V in Å³/f.u.: 117.99
Calculated density in Mg/m³: 9.32



[8]
Entry from the Alexandria database: a geometry-optimized GeOsRuAu2 structure (GGA-PBE).

Cell lengths 4.714, 4.633, 4.714 Å; angles 90.00, 90.00, 90.00 degrees
Last column: magnetic moment on the atom in μB.
Fractional coordinates of all 5 atoms:
Ru  0.500  0.500  0.500  2.37
Ge  0.000  0.000  0.000  0.01
Au  0.500  0.000  0.000  0.05
Au  0.000  0.000  0.500  0.01
Os  0.000  0.500  0.000  1.00

Properties
Energy of formation in eV/atom: 1.4829
V in Å³/f.u.: 102.97
Calculated density in Mg/m³: 12.22



[9]
Entry from the Alexandria database: a geometry-optimized Ge2OsAuSe structure (GGA-PBE).

Cell lengths 4.848, 4.822, 4.848 Å; angles 90.00, 90.00, 90.00 degrees
Fractional coordinates of all 5 atoms:
Au  0.500  0.500  0.500
Ge  0.500  0.000  0.000
Ge  0.000  0.000  0.500
Os  0.000  0.000  0.000
Se  0.000  0.500  0.000

Properties
E_form (uncorrected) in kJ/mol of atoms: 54
V in Å³/f.u.: 113.34
Calculated density in Mg/m³: 8.96



[10]
Entry from the Alexandria database: a geometry-optimized Ge2OsWAu structure (GGA-PBE).

Cell lengths 4.616, 5.174, 4.616 Å; angles 90.00, 90.00, 90.00 degrees
Fractional coordinates of all 5 atoms:
Ge  0.500  0.000  0.000
Ge  0.000  0.000  0.500
W  0.000  0.500  0.000
Au  0.000  0.000  0.000
Os  0.500  0.500  0.500

Properties
Energy of formation in eV/atom: 2.2186
V in Å³/f.u.: 110.24
Calculated density in Mg/m³: 10.79



[11]
Entry from the Alexandria database: a geometry-optimized Ge2PAu structure (GGA-PBE).

Cell lengths 3.578, 3.578, 7.168 Å; angles 75.55, 75.55, 60.00 degrees
Fractional coordinates of all 4 atoms:
Au  0.495  0.495  0.515
Ge  0.079  0.079  0.763
Ge  0.262  0.262  0.214
P  0.664  0.664  0.009

Properties
Energy of formation in eV/atom: 0.1244
V in Å³/f.u.: 76.08
Calculated density in Mg/m³: 8.15



[12]
Entry from the Alexandria database: a geometry-optimized GePAu structure (GGA-PBE).

Cell lengths 3.686, 6.185, 6.666 Å; angles 105.56, 89.95, 72.59 degrees
Fractional coordinates of all 6 atoms:
Ge  0.834  0.832  0.285
Ge  0.166  0.168  0.715
Au  0.065  0.370  0.136
Au  0.935  0.630  0.864
P  0.200  0.098  0.330
P  0.800  0.902  0.670

Properties
Energy of formation in eV/atom: -0.0053
V in Å³/f.u.: 69.57
Relative energy among the computed polymorphs in meV per atom: 0
Calculated density in Mg/m³: 7.17